Here is a relaxed structure of SrBeGaN2 from the Alexandria database. Energies are from PBE.

Summary:
The value obtained for the calculated total energy is -5.396 eV per atom.

Lattice parameters (Å, degrees): 5.6255 4.0608 6.4164 90.00 92.69 90.00
Last column: nearest neighbours and their distance in Å.
Space group P2/c (No. 13)
Symmetry-distinct sites (fractional):
Sr: 0.0000 0.2221 0.2500 [2 per cell]  6 N 2.70-2.92
Be: 0.5000 0.0000 0.0000 [2 per cell]  2 N 1.59
Ga: 0.5000 0.4900 0.7500 [2 per cell]  2 N 1.96
N: 0.2890 0.2399 0.9263 [4 per cell]  1 Be 1.59